Entry 1:
Material: TlCoBr2
Method: DFT, PBE
State: relaxed

Cell lengths 5.338, 5.338, 3.660 Å; angles 90.00, 90.00, 90.00 degrees
Fractional coordinates of all 4 atoms:
Tl 0.000 0.000 0.000
Co 0.500 0.500 0.000
Br 0.000 0.500 0.500
Br 0.500 0.000 0.500

Computed properties:
Raw total energy: -11.9 eV/cell
Space group: P4/mmm
Calculated volume: 26.1 Å³/atom
Crystal system: tetragonal
DOS at the Fermi energy: 1.442 states/eV per atom
Energy relative to the elements, uncorrected: 0.224 eV per atom

Entry 2:
Material: LiCd3Pb
Method: DFT, PBE
State: relaxed

Cell lengths 5.818, 5.818, 5.818 Å; angles 90.00, 90.00, 90.00 degrees
Fractional coordinates of all 5 atoms:
Li 0.000 0.000 0.000
Cd 0.000 0.500 0.500
Cd 0.500 0.000 0.500
Cd 0.500 0.500 0.000
Pb 0.500 0.500 0.500

Computed properties:
Raw total energy: -6.3 eV/cell
Space group: Pm-3m
DFT formation energy: 0.41 eV per atom
Calculated volume: 39.4 Å³/atom
Crystal system: cubic
DOS at the Fermi energy: 1.383 states/eV per atom

Entry 3:
Material: Ac2PuIr
Method: DFT, PBE
State: relaxed

Cell lengths 11.163, 11.163, 11.163 Å; angles 21.36, 21.36, 21.36 degrees
Fractional coordinates of all 4 atoms:
Ac 0.115 0.115 0.115
Ac 0.885 0.885 0.885
Pu 0.000 0.000 0.000
Ir 0.500 0.500 0.500

Computed properties:
Raw total energy: -31.2 eV/cell
Space group: R-3m
DFT formation energy: 0.05 eV per atom
Calculated volume: 40.4 Å³/atom
Crystal system: trigonal
DOS at the Fermi energy: 3.871 states/eV per atom